DFT (PBE) results for a relaxed structure of SrRhBr4.

POSCAR file:
```
SrRhBr4
1.0
0.000 4.495 4.495
4.495 0.000 4.495
4.495 4.495 0.000
Sr Rh Br
1 1 4
Direct
0.000 0.000 0.000
0.250 0.250 0.250
0.126 0.625 0.625
0.625 0.126 0.625
0.625 0.625 0.126
0.625 0.625 0.625
```

Computed properties:
The value obtained for the magnetic moment is 2.67 μB per formula unit. As for the formation energy (no corrections): 0.191 eV per atom. Its raw total energy is -14.581 eV for the cell shown. The value obtained for the density of states at the Fermi level is 9.152 states/eV/f.u.

=====

DFT (PBE) results for a relaxed structure of SrTcP2.

POSCAR file:
```
SrTcP2
1.0
3.195 0.000 0.000
0.000 4.765 0.000
0.000 0.000 4.795
Sr Tc P
1 1 2
Direct
0.000 0.000 0.000
0.000 0.500 0.500
0.500 0.000 0.500
0.500 0.500 0.000
```

Computed properties:
The value obtained for the magnetic moment is 0.73 μB per formula unit. The formation energy comes out at 275 meV per atom. Its raw total energy is -21.768 eV for the cell shown. The value obtained for the density of states at the Fermi level is 3.621 states/eV/f.u.